1) Density functional theory data (PBE-GGA) for an optimized crystal structure of Zr2ScMo.

a b c (Å): 3.0503 3.0503 9.8161
angles (deg): 90.00 90.00 112.98
Atoms (fractional coordinates):
Zr 0.0000 0.0000 0.0000
Zr 0.5000 0.5000 0.2754
Sc 0.0000 0.0000 0.5610
Mo 0.5000 0.5000 0.7832

Results
Symmetry   Cmm2
Total magnetic moment   0.000 μB per formula unit

=====

2) Density functional theory data (PBE-GGA) for an optimized crystal structure of Zr2ScMo.

a b c (Å): 5.7321 5.7321 5.7321
angles (deg): 145.04 127.32 64.80
Atoms (fractional coordinates):
Zr 0.2171 0.2171 0.0000
Zr 0.7829 0.7829 0.0000
Sc 0.5000 0.0000 0.5000
Mo 0.0000 0.5000 0.5000

Results
Symmetry   Immm
Total magnetic moment   0.000 μB per formula unit

=====

3) Density functional theory data (PBE-GGA) for an optimized crystal structure of Zr2ScMo.

a b c (Å): 5.7874 5.7874 4.9020
angles (deg): 114.26 114.26 34.60
Atoms (fractional coordinates):
Zr 0.0000 0.0000 0.0000
Zr 0.2167 0.2167 0.7265
Sc 0.4362 0.4362 0.4380
Mo 0.7099 0.7099 0.2429

Results
Symmetry   Cm
Total magnetic moment   0.000 μB per formula unit

=====

So which one is most stable? That would be 2), about 1.0 kJ/mol of atoms below the next structure.